[1]
Computed, not measured: crystalline LaHgAu at its relaxed geometry at the PBE-GGA level of DFT.

It has space group F-43m (No. 216), with a = 7.027 Å, b = 7.027 Å, c = 7.027 Å, α = 90.00°, β = 90.00° and γ = 90.00°. Symmetry generates all atoms from La at (0.000, 0.000, 0.000), Hg at (0.000, 0.000, 0.500) and Au at (0.250, 0.250, 0.250).

The density is 10.27 g/cm³.


[2]
Computed, not measured: crystalline La2HgAu at its relaxed geometry at the PBE-GGA level of DFT.

It has space group I-42d (No. 122), with a = 8.280 Å, b = 8.280 Å, c = 7.505 Å, α = 90.00°, β = 90.00° and γ = 90.00°. Symmetry generates all atoms from La at (0.228, 0.250, 0.125), Hg at (0.000, 0.000, 0.500) and Au at (0.000, 0.000, 0.000).

The density is 8.72 g/cm³.


[3]
Computed, not measured: crystalline La2HgAu4 at its relaxed geometry at the PBE-GGA level of DFT.

It has space group I4/mmm (No. 139), with a = 5.167 Å, b = 5.167 Å, c = 15.590 Å, α = 90.00°, β = 90.00° and γ = 90.00°. Symmetry generates all atoms from La at (0.000, 0.000, 0.131), Hg at (0.000, 0.000, 0.500), Au at (0.000, 0.000, 0.316) and Au at (0.000, 0.500, 0.000).

The density is 10.10 g/cm³.


[4]
Computed, not measured: crystalline La2Hg2Au at its relaxed geometry at the PBE-GGA level of DFT.

It has space group C2/m (No. 12), with a = 11.438 Å, b = 4.405 Å, c = 7.069 Å, α = 90.00°, β = 128.12° and γ = 90.00°. Symmetry generates all atoms from La at (0.219, 0.000, 0.220), Hg at (0.000, 0.500, 0.218) and Au at (0.000, 0.000, 0.500).

The density is 10.38 g/cm³.


| no. | ΔE_f (eV/atom) | M_tot (μB/atom) |
| --- | --- | --- |
| 1 | -0.579 | 0.0003 |
| 2 | -0.355 | 0.0000 |
| 3 | -0.224 | 0.0000 |
| 4 | -0.474 | 0.0000 |